Here is a geometry-optimized Tl7Au3 structure from Alexandria. Energies are from GGA-PBE.

Cell lengths 9.0152, 9.0152, 9.0152 Å; angles 109.47, 109.47, 109.47 degrees
Closest atoms and distances in Å follow each position.
Fractional positions:
Tl 0.0000 0.0000 0.3293  3 Au 3.00, 1 Tl 3.08
Tl 0.0000 0.0000 0.6707  3 Au 3.00, 1 Tl 3.08
Tl 0.0000 0.3293 0.0000  3 Au 3.00, 1 Tl 3.08
Tl 0.0000 0.6707 0.0000  3 Au 3.00, 1 Tl 3.08
Tl 0.2500 0.5000 0.7500  4 Au 3.12
Tl 0.2500 0.7500 0.5000  4 Au 3.12
Tl 0.3293 0.0000 0.0000  3 Au 3.00, 1 Tl 3.08
Tl 0.3293 0.3293 0.3293  3 Au 3.00, 1 Tl 3.08
Tl 0.5000 0.2500 0.7500  4 Au 3.12
Tl 0.5000 0.7500 0.2500  4 Au 3.12
Tl 0.6707 0.0000 0.0000  3 Au 3.00, 1 Tl 3.08
Tl 0.6707 0.6707 0.6707  3 Au 3.00, 1 Tl 3.08
Tl 0.7500 0.2500 0.5000  4 Au 3.12
Tl 0.7500 0.5000 0.2500  4 Au 3.12
Au 0.0000 0.3349 0.3349  8 Tl 3.00-3.12
Au 0.0000 0.6651 0.6651  8 Tl 3.00-3.12
Au 0.3349 0.0000 0.3349  8 Tl 3.00-3.12
Au 0.3349 0.3349 0.0000  8 Tl 3.00-3.12
Au 0.6651 0.0000 0.6651  8 Tl 3.00-3.12
Au 0.6651 0.6651 0.0000  8 Tl 3.00-3.12

## Properties
* crystal system: cubic
* ΔE_f: -0.02 eV/atom
* E_tot: -53.21 eV for the cell shown
* SG: Im-3m